[1]
Compound: Er2P4O13
Source: Alexandria
Functional: GGA-PBEsol
Structure: optimized geometry

Cell: 8.975 9.254 13.745 Å, 90.00 107.78 90.00°
Space group P2_1/c (No. 14)
Symmetry-distinct sites (fractional):
Er: 0.025 0.001 0.217 (multiplicity 4)
Er: 0.440 0.006 0.224 (multiplicity 4)
P: 0.174 0.229 0.440 (multiplicity 4)
P: 0.222 0.199 0.661 (multiplicity 4)
P: 0.283 0.739 0.341 (multiplicity 4)
P: 0.486 0.739 0.055 (multiplicity 4)
O: 0.078 0.136 0.917 (multiplicity 4)
O: 0.121 0.116 0.711 (multiplicity 4)
O: 0.131 0.678 0.347 (multiplicity 4)
O: 0.137 0.112 0.361 (multiplicity 4)
O: 0.157 0.157 0.541 (multiplicity 4)
O: 0.207 0.134 0.167 (multiplicity 4)
O: 0.253 0.632 0.765 (multiplicity 4)
O: 0.355 0.224 0.971 (multiplicity 4)
O: 0.373 0.684 0.948 (multiplicity 4)
O: 0.390 0.627 0.319 (multiplicity 4)
O: 0.393 0.158 0.698 (multiplicity 4)
O: 0.423 0.624 0.586 (multiplicity 4)
O: 0.487 0.113 0.373 (multiplicity 4)

Computed properties:
Formation energy (no corrections), meV per atom: -2705
Relative energy among the computed polymorphs, eV/atom: 0.000


[2]
Compound: ErP5O14
Source: Alexandria
Functional: GGA-PBEsol
Structure: optimized geometry

Cell: 8.708 12.666 8.933 Å, 90.00 90.00 90.00°
Space group Pnma (No. 62)
Symmetry-distinct sites (fractional):
Er: 0.020 0.250 0.056 (multiplicity 4)
P: 0.010 0.582 0.297 (multiplicity 8)
P: 0.074 0.750 0.509 (multiplicity 4)
P: 0.242 0.571 0.774 (multiplicity 8)
O: 0.006 0.637 0.152 (multiplicity 8)
O: 0.025 0.153 0.562 (multiplicity 8)
O: 0.041 0.750 0.672 (multiplicity 4)
O: 0.112 0.508 0.679 (multiplicity 8)
O: 0.156 0.120 0.161 (multiplicity 8)
O: 0.167 0.530 0.344 (multiplicity 8)
O: 0.172 0.630 0.899 (multiplicity 8)
O: 0.231 0.750 0.443 (multiplicity 4)

Computed properties:
Formation energy (no corrections), meV per atom: -2362
Relative energy among the computed polymorphs, eV/atom: 0.007


[3]
Compound: Er2P4O13
Source: Alexandria
Functional: GGA-PBEsol
Structure: optimized geometry

Cell: 11.756 6.689 12.779 Å, 90.00 106.98 90.00°
Space group C2/c (No. 15)
Symmetry-distinct sites (fractional):
Er: 0.192 0.003 0.048 (multiplicity 8)
P: 0.012 0.342 0.867 (multiplicity 8)
P: 0.238 0.489 0.662 (multiplicity 8)
O: 0.000 0.243 0.750 (multiplicity 4)
O: 0.007 0.170 0.944 (multiplicity 8)
O: 0.100 0.482 0.655 (multiplicity 8)
O: 0.113 0.485 0.899 (multiplicity 8)
O: 0.193 0.006 0.218 (multiplicity 8)
O: 0.235 0.186 0.404 (multiplicity 8)
O: 0.248 0.174 0.904 (multiplicity 8)

Computed properties:
Formation energy (no corrections), meV per atom: -2694
Relative energy among the computed polymorphs, eV/atom: 0.011


[4]
Compound: ErP3O9
Source: Alexandria
Functional: GGA-PBEsol
Structure: optimized geometry

Cell: 6.956 9.683 10.957 Å, 90.00 91.76 90.00°
Space group P2_1/m (No. 11)
Symmetry-distinct sites (fractional):
Er: 0.174 0.250 0.463 (multiplicity 2)
Er: 0.312 0.250 0.982 (multiplicity 2)
P: 0.177 0.750 0.103 (multiplicity 2)
P: 0.266 0.011 0.232 (multiplicity 4)
P: 0.312 0.750 0.626 (multiplicity 2)
P: 0.324 0.035 0.716 (multiplicity 4)
O: 0.008 0.750 0.015 (multiplicity 2)
O: 0.143 0.750 0.538 (multiplicity 2)
O: 0.148 0.088 0.322 (multiplicity 4)
O: 0.149 0.624 0.196 (multiplicity 4)
O: 0.226 0.094 0.605 (multiplicity 4)
O: 0.278 0.092 0.838 (multiplicity 4)
O: 0.291 0.627 0.723 (multiplicity 4)
O: 0.329 0.086 0.121 (multiplicity 4)
O: 0.376 0.750 0.055 (multiplicity 2)
O: 0.449 0.551 0.306 (multiplicity 4)
O: 0.489 0.250 0.424 (multiplicity 2)

Computed properties:
Formation energy (no corrections), meV per atom: -2559


[5]
Compound: RbErP2O7
Source: Alexandria
Functional: GGA-PBEsol
Structure: optimized geometry

Cell: 7.706 10.868 8.669 Å, 90.00 105.82 90.00°
Space group P2_1/c (No. 14)
Symmetry-distinct sites (fractional):
Rb: 0.185 0.177 0.062 (multiplicity 4)
Er: 0.234 0.597 0.253 (multiplicity 4)
P: 0.130 0.600 0.818 (multiplicity 4)
P: 0.437 0.638 0.687 (multiplicity 4)
O: 0.007 0.502 0.718 (multiplicity 4)
O: 0.077 0.729 0.748 (multiplicity 4)
O: 0.142 0.592 0.994 (multiplicity 4)
O: 0.329 0.611 0.516 (multiplicity 4)
O: 0.331 0.569 0.802 (multiplicity 4)
O: 0.377 0.079 0.768 (multiplicity 4)
O: 0.450 0.726 0.232 (multiplicity 4)

Computed properties:
Formation energy (no corrections), meV per atom: -2728


[6]
Compound: ErPaO4
Source: Alexandria
Functional: GGA-PBEsol
Structure: optimized geometry

Cell: 3.754 3.754 5.290 Å, 90.00 90.00 90.00°
Space group P4/mmm (No. 123)
Symmetry-distinct sites (fractional):
Er: 0.000 0.000 0.000 (multiplicity 1)
Pa: 0.500 0.500 0.500 (multiplicity 1)
O: 0.000 0.500 0.257 (multiplicity 4)

Computed properties:
Formation energy (no corrections), meV per atom: -3804


[7]
Compound: Er2Pb2O7
Source: Alexandria
Functional: GGA-PBEsol
Structure: optimized geometry

Cell: 10.573 10.573 10.573 Å, 90.00 90.00 90.00°
Space group Fd-3m (No. 227, origin choice 2)
Symmetry-distinct sites (fractional):
Er: 0.000 0.000 0.000 (multiplicity 16)
Pb: 0.000 0.000 0.500 (multiplicity 16)
O: 0.102 0.375 0.875 (multiplicity 48)
O: 0.125 0.125 0.125 (multiplicity 8)

Computed properties:
Formation energy (no corrections), meV per atom: -2143


[8]
Compound: Er2Pt2O7
Source: Alexandria
Functional: GGA-PBEsol
Structure: optimized geometry

Cell: 10.084 10.084 10.084 Å, 90.00 90.00 90.00°
Space group Fd-3m (No. 227, origin choice 2)
Symmetry-distinct sites (fractional):
Er: 0.000 0.000 0.000 (multiplicity 16)
Pt: 0.000 0.000 0.500 (multiplicity 16)
O: 0.093 0.375 0.875 (multiplicity 48)
O: 0.125 0.125 0.125 (multiplicity 8)

Computed properties:
Formation energy (no corrections), meV per atom: -2100


[9]
Compound: RbErW2O8
Source: Alexandria
Functional: GGA-PBEsol
Structure: optimized geometry

Cell: 10.647 10.399 7.453 Å, 90.00 130.49 90.00°
Space group C2/c (No. 15)
Symmetry-distinct sites (fractional):
Rb: 0.000 0.200 0.250 (multiplicity 4)
Er: 0.000 0.228 0.750 (multiplicity 4)
W: 0.197 0.497 0.729 (multiplicity 8)
O: 0.021 0.390 0.967 (multiplicity 8)
O: 0.128 0.085 0.693 (multiplicity 8)
O: 0.190 0.430 0.444 (multiplicity 8)
O: 0.219 0.158 0.122 (multiplicity 8)

Computed properties:
Formation energy (no corrections), meV per atom: -2561